Entry 1:
First-principles (PBE) data for a geometry-optimized Ac2Al4SiAu3 structure, as listed in the Alexandria database.

POSCAR file:
```
Ac2Al4SiAu3
1.0
-0.8336 -2.8779 3.4225
0.6651 -3.5225 -2.8000
10.2213 -0.0294 2.4648
Al Au Ac Si
4 3 2 1
direct
0.0000 0.5000 0.3755
0.5000 0.0000 0.6245
0.5000 0.5000 0.0000
0.0000 0.0000 0.0000
0.5000 0.0000 0.8712
0.0000 0.0000 0.5000
0.0000 0.5000 0.1288
0.5000 0.0000 0.2559
0.0000 0.5000 0.7441
0.5000 0.5000 0.5000
```

Entry 2:
First-principles (PBE) data for a geometry-optimized Tl8AgAu2 structure, as listed in the Alexandria database.

POSCAR file:
```
Tl8AgAu2
1.0
5.3598 0.0000 -1.6312
-1.5548 8.9953 -5.1089
-0.5564 -1.7530 7.7930
Tl Au Ag
8 2 1
direct
0.8473 0.8473 0.6946
0.6546 0.4126 0.3093
0.0000 0.6654 0.0000
0.1527 0.1527 0.3054
0.3454 0.5874 0.6907
0.6546 0.8966 0.3092
0.3454 0.1034 0.6908
0.0000 0.3346 0.0000
0.2272 0.7272 0.4545
0.7728 0.2728 0.5455
0.5000 0.0000 0.0000
```

Calculated values
- formation enthalpy at 0 K (eV per atom) = 0.038

no.,VASP energy (eV/atom),size of the total moment (μB per atom)
1,-4.52,0.00
2,-2.54,0.00